[1]
This record from Alexandria via LeMat-Bulk describes an optimized crystal structure of CaZn2MoP. The functional is GGA-PBEsol.

Computed properties:
E: -21.14 eV per cell

Cell and atoms, written as POSCAR:
```
CaZn2MoP
1.0
-0.275 -4.528 0.178
0.201 0.169 4.631
-4.626 0.289 0.191
Zn Ca P Mo
2 1 1 1
direct
0.000 0.500 0.000
0.000 0.000 0.500
0.500 0.500 0.500
0.000 0.000 0.000
0.500 0.000 0.000
```

[2]
This record from Alexandria via LeMat-Bulk describes an optimized crystal structure of CaFe2As2. The functional is GGA-PBEsol.

Computed properties:
E: -33.25 eV per cell

Cell and atoms, written as POSCAR:
```
CaFe2As2
1.0
-2.988 -2.518 0.443
0.765 -1.528 -3.542
4.270 -1.353 3.687
Ca Fe As
1 2 2
direct
0.000 0.000 0.000
0.750 0.250 0.500
0.250 0.750 0.500
0.637 0.637 0.274
0.363 0.363 0.726
```

[3]
This record from Alexandria via LeMat-Bulk describes an optimized crystal structure of Tl2PtW. The functional is GGA-PBEsol.

Computed properties:
E: -23.18 eV per cell

Cell and atoms, written as POSCAR:
```
Tl2PtW
1.0
3.020 0.000 0.000
0.000 5.242 0.000
-1.510 -2.621 4.768
Pt Tl W
1 2 1
direct
0.000 0.500 0.000
0.258 0.258 0.516
0.742 0.742 0.484
0.500 0.000 0.000
```

[4]
This record from Alexandria via LeMat-Bulk describes an optimized crystal structure of LaSb4Pb. The functional is GGA-PBEsol.

Computed properties:
E_form (uncorrected): -0.2267 eV/atom

Cell and atoms, written as POSCAR:
```
LaSb4Pb
1.0
6.217 0.000 0.000
3.108 5.384 0.000
3.108 1.795 5.076
Sb Pb La
4 1 1
direct
0.375 0.375 0.375
0.875 0.375 0.375
0.375 0.875 0.375
0.375 0.375 0.875
0.000 0.000 0.000
0.750 0.750 0.750
```